Entry from the Alexandria database: an optimized crystal structure of CsCrC3 (PBE-GGA).

Structure (POSCAR):
```
CsCrC3
1.0
4.0750 0.0000 0.0000
0.0000 4.0750 0.0000
0.0000 0.0000 4.0750
C Cs Cr
3 1 1
Direct
0.5000 0.0000 0.0000 C
0.0000 0.5000 0.0000 C
0.0000 0.0000 0.5000 C
0.5000 0.5000 0.5000 Cs
0.0000 0.0000 0.0000 Cr
```

## Properties
As for the symmetry: Pm-3m, No. 221. The calculated formation energy comes out at 1.862 eV/atom. Its crystal system is cubic. As for the magnetization: 0.000 μB/f.u.